Entry 1:
Computed, not measured: a relaxed BiAu2Br6 crystal at the PBE-GGA level of DFT.

Results
Formation energy (no corrections) ... -0.29 eV per atom
Symmetry ... No. 15
Spin magnetization ... 0.0000 μB/atom
Final energy ... -2.567 eV/atom

abc: 9.583 9.583 8.187
angles: 100.07 100.07 92.69
Element x y z (fractional)
Bi1 0.092 0.908 0.750
Bi2 0.908 0.092 0.250
Au1 0.240 0.313 0.783
Au2 0.313 0.240 0.283
Au3 0.687 0.760 0.717
Au4 0.760 0.687 0.217
Br1 0.002 0.212 0.617
Br2 0.080 0.653 0.830
Br3 0.212 0.002 0.117
Br4 0.347 0.920 0.670
Br5 0.380 0.405 0.552
Br6 0.405 0.380 0.052
Br7 0.595 0.620 0.948
Br8 0.620 0.595 0.448
Br9 0.653 0.080 0.330
Br10 0.788 0.998 0.883
Br11 0.920 0.347 0.170
Br12 0.998 0.788 0.383

***

Entry 2:
Computed, not measured: a relaxed Bi2AuBr crystal at the PBE-GGA level of DFT.

Results
Formation energy (no corrections) ... 0.07 eV per atom
Distance to the lowest polymorph of the same formula ... 29.5 kJ/mol of atoms
Symmetry ... No. 225
Spin magnetization ... 0.0000 μB/atom
Final energy ... -3.109 eV/atom

abc: 5.277 5.277 5.277
angles: 60.00 60.00 60.00
Element x y z (fractional)
Bi1 0.250 0.250 0.250
Bi2 0.750 0.750 0.750
Au1 0.000 0.000 0.000
Br1 0.500 0.500 0.500

***

spin magnetization of number 2 (Bi2AuBr)?
0.0000 μB/atom

***

The lowest formation energy (no corrections) belongs to which entry?
BiAu2Br6

***

Which value of formation energy (no corrections) does entry 1 give?
-0.29 eV per atom